[1]
Below is a relaxed GdYTl2Zn2 crystal, with properties calculated at the PBE level.

Geometry as POSCAR:
```
GdYTl2Zn2
1.0
4.696 0.000 0.000
-2.348 4.067 0.000
0.000 0.000 7.395
Gd Tl Y Zn
1 2 1 2
Cartesian
0.000 0.000 6.266
2.348 1.356 0.938
0.000 2.711 4.632
0.000 0.000 2.570
0.000 2.711 0.330
2.348 1.356 4.025
```

E   -3.42 eV/atom
ρ   9.24 g cm⁻³



[2]
Below is a relaxed GdTlZn crystal, with properties calculated at the PBE level.

Geometry as POSCAR:
```
GdTlZn
1.0
-0.310 1.649 7.209
4.133 -2.168 0.674
3.905 6.999 -1.433
Gd Tl Zn
4 4 4
Cartesian
3.830 0.785 3.786
4.167 0.287 0.115
3.561 6.193 6.335
3.898 5.694 2.664
1.132 1.342 5.624
2.562 2.802 1.552
5.166 3.678 4.898
6.596 5.137 0.826
1.296 0.369 1.489
2.444 3.529 4.615
5.283 2.950 1.835
6.432 6.111 4.961
```

E   -3.08 eV/atom
ρ   9.98 g cm⁻³



[3]
Below is a relaxed GdTlZn crystal, with properties calculated at the PBE level.

Geometry as POSCAR:
```
GdTlZn
1.0
-3.254 3.455 2.052
1.118 -4.344 2.572
4.833 2.895 2.790
Gd Tl Zn
2 2 2
Cartesian
-0.589 1.579 2.923
3.285 0.427 4.491
0.869 -1.021 3.096
1.828 3.027 4.318
0.000 0.000 0.000
2.416 1.448 1.395
```

E   -2.96 eV/atom
ρ   9.74 g cm⁻³



[4]
Below is a relaxed GdTlZn crystal, with properties calculated at the PBE level.

Geometry as POSCAR:
```
GdTlZn
1.0
-4.309 1.843 -0.419
1.394 -3.411 -2.926
-2.639 -5.105 4.693
Gd Tl Zn
2 2 2
Cartesian
-0.638 -1.234 1.135
-1.958 -3.786 3.481
-1.731 -4.027 0.087
-4.951 -4.828 3.269
-0.624 -1.886 -1.881
-3.845 -2.688 1.301
```

E   -3.12 eV/atom
ρ   9.97 g cm⁻³



[5]
Below is a relaxed Gd2TlZn crystal, with properties calculated at the PBE level.

Geometry as POSCAR:
```
Gd2TlZn
1.0
-2.055 -2.864 -1.087
1.553 -2.102 2.603
-5.395 2.028 4.855
Gd Tl Zn
2 1 1
Cartesian
-1.464 0.550 1.318
-3.931 1.477 3.538
-0.251 -2.483 0.758
-2.948 -1.469 3.186
```

E   -3.60 eV/atom
ρ   9.46 g cm⁻³



[6]
Below is a relaxed GdTlZn crystal, with properties calculated at the PBE level.

Geometry as POSCAR:
```
GdTlZn
1.0
-2.384 -1.721 3.673
1.896 -2.930 -3.156
6.278 -0.217 3.973
Gd Tl Zn
2 2 2
Cartesian
0.562 -2.176 2.359
3.698 -2.285 4.344
2.923 -0.101 1.850
6.513 -2.736 2.946
0.302 -0.010 0.191
3.858 -2.644 1.265
```

E   -3.12 eV/atom
ρ   9.95 g cm⁻³



Calculated volume across the listed records, respectively: 23.538, 23.679, 24.263, 23.705, 25.635, 23.751 Å³/atom.